(1)
{"formula": "InCuBRh2", "functional": "PBE", "state": "relaxed", "e_tot_ev_per_atom": -3.890, "sg": "P4/mmm (123)", "dos_ef_per_ev_atom": 1.2297, "e_form_kcal_per_mol_atoms": 40.43, "de_polymorph_kcal_per_mol_atoms": 46.86, "lattice_angstrom": [[-1.674, 4.555, -1.004], [-0.347, -0.996, -3.943], [-4.645, -1.532, 0.796]], "species": ["Cu", "Rh", "Rh", "B", "In"], "frac_coords": [[0.500, 0.500, 0.500], [0.000, 0.000, 0.500], [0.500, 0.000, 0.000], [0.000, 0.500, 0.000], [0.000, 0.000, 0.000]]}



(2)
{"formula": "BaMn2Au", "functional": "PBE", "state": "relaxed", "e_tot_ev_per_atom": -5.514, "sg": "I4_1/amd (141)", "dos_ef_per_ev_atom": 0.9593, "e_form_kcal_per_mol_atoms": 8.56, "lattice_angstrom": [[5.060, 0.000, 0.000], [0.000, 5.060, 0.000], [2.530, 2.530, 9.179]], "species": ["Mn", "Mn", "Mn", "Mn", "Au", "Au", "Ba", "Ba"], "frac_coords": [[0.875, 0.625, 0.250], [0.875, 0.125, 0.750], [0.375, 0.125, 0.750], [0.875, 0.125, 0.250], [0.750, 0.250, 0.500], [0.000, 0.000, 0.000], [0.500, 0.500, 0.000], [0.250, 0.750, 0.500]]}



(3)
{"formula": "DyPaSn", "functional": "PBE", "state": "relaxed", "e_tot_ev_per_atom": -5.904, "sg": "P-6m2 (187)", "dos_ef_per_ev_atom": 1.9679, "e_form_kcal_per_mol_atoms": 2.99, "de_polymorph_kcal_per_mol_atoms": 6.08, "lattice_angstrom": [[3.180, 0.000, 0.000], [0.000, 5.271, 0.000], [0.000, -2.635, 4.564]], "species": ["Pa", "Sn", "Dy"], "frac_coords": [[0.167, 0.000, 0.000], [0.667, 0.667, 0.333], [0.166, 0.333, 0.667]]}



(4)
{"formula": "Cs2LaMoBr6", "functional": "PBE", "state": "relaxed", "e_tot_ev_per_atom": -3.983, "sg": "Fm-3m (225)", "dos_ef_per_ev_atom": 0.6032, "e_form_raw_ev_per_atom": -1.233, "lattice_angstrom": [[7.900, 0.000, 0.000], [0.000, 7.900, 0.000], [3.950, 3.950, 5.585]], "species": ["Br", "Br", "Br", "Br", "Br", "Br", "Cs", "Cs", "Mo", "La"], "frac_coords": [[0.263, 0.263, 0.000], [0.737, 0.737, 0.000], [0.737, 0.737, 0.527], [0.263, 0.263, 0.473], [0.263, 0.737, 0.000], [0.737, 0.263, 0.000], [0.250, 0.750, 0.500], [0.750, 0.250, 0.500], [0.500, 0.500, 0.000], [0.000, 0.000, 0.000]]}



(5)
{"formula": "K2LiCdI6", "functional": "PBE", "state": "relaxed", "e_tot_ev_per_atom": -2.350, "sg": "P1 (1)", "dos_ef_per_ev_atom": 0.4689, "e_form_raw_ev_per_atom": -0.918, "lattice_angstrom": [[-3.033, -1.428, 7.498], [-1.619, -8.252, 1.995], [4.592, -2.995, 4.897]], "species": ["I", "I", "I", "I", "I", "I", "Li", "K", "K", "Cd"], "frac_coords": [[0.016, 0.494, 0.356], [0.144, 0.944, 0.323], [0.603, 0.123, 0.252], [0.017, 0.493, 0.868], [0.604, 0.122, 0.761], [0.480, 0.680, 0.788], [0.343, 0.379, 0.007], [0.553, 0.549, 0.317], [0.074, 0.075, 0.793], [0.828, 0.804, 0.552]]}



(6)
{"formula": "Rb5TlH6", "functional": "PBE", "state": "relaxed", "e_tot_ev_per_atom": -2.350, "sg": "C2/m (12)", "dos_ef_per_ev_atom": 0.0000, "lattice_angstrom": [[6.317, 0.619, 3.380], [1.583, 6.927, 0.847], [0.216, 0.309, 7.190]], "species": ["Rb", "Rb", "Rb", "Rb", "Rb", "H", "H", "H", "H", "H", "H", "Tl"], "frac_coords": [[0.162, 0.500, 0.676], [0.333, 0.000, 0.335], [0.500, 0.500, 0.000], [0.838, 0.500, 0.324], [0.667, 0.000, 0.665], [0.595, 0.246, 0.323], [0.918, 0.246, 0.677], [0.758, 0.759, 0.000], [0.242, 0.241, 0.000], [0.405, 0.754, 0.677], [0.082, 0.754, 0.323], [0.000, 0.000, 0.000]]}



(7)
{"formula": "Pm3ThCu4", "functional": "PBE", "state": "relaxed", "e_tot_ev_per_atom": -4.890, "sg": "Pmmm (47)", "dos_ef_per_ev_atom": 0.8575, "e_form_kcal_per_mol_atoms": -3.07, "lattice_angstrom": [[-2.107, 1.370, 2.452], [3.393, -1.208, 3.591], [4.489, 9.049, -1.198]], "species": ["Pm", "Pm", "Pm", "Cu", "Cu", "Cu", "Cu", "Th"], "frac_coords": [[0.500, 0.000, 0.748], [0.500, 0.500, 0.500], [0.500, 0.000, 0.252], [0.000, 0.000, 0.000], [0.000, 0.500, 0.247], [0.000, 0.000, 0.500], [0.000, 0.500, 0.753], [0.500, 0.500, 0.000]]}



(8)
{"formula": "Ce6P3S2Br", "functional": "PBE", "state": "relaxed", "e_tot_ev_per_atom": -6.805, "sg": "C2/m (12)", "dos_ef_per_ev_atom": 2.4798, "e_form_raw_ev_per_atom": -1.658, "lattice_angstrom": [[4.092, 0.000, 0.000], [0.000, 8.199, 0.312], [-2.046, -2.341, 8.604]], "species": ["Ce", "Ce", "Ce", "Ce", "Ce", "Ce", "S", "S", "Br", "P", "P", "P"], "frac_coords": [[0.666, 0.585, 0.332], [0.001, 0.267, 0.001], [0.334, 0.415, 0.668], [0.327, 0.914, 0.654], [0.673, 0.086, 0.346], [0.999, 0.733, 0.999], [0.167, 0.334, 0.335], [0.833, 0.666, 0.665], [0.500, 0.000, 0.000], [0.164, 0.833, 0.329], [0.500, 0.500, 0.000], [0.836, 0.167, 0.671]]}



(9)
{"formula": "La2Tb3Zn2", "functional": "PBE", "state": "relaxed", "e_tot_ev_per_atom": -3.893, "sg": "Cmmm (65)", "dos_ef_per_ev_atom": 1.2201, "e_form_kcal_per_mol_atoms": -3.16, "de_polymorph_kcal_per_mol_atoms": 0.00, "lattice_angstrom": [[-2.246, 0.904, 2.769], [-1.396, -3.351, -0.037], [11.492, -4.881, 8.471]], "species": ["Tb", "Tb", "Tb", "La", "La", "Zn", "Zn"], "frac_coords": [[0.000, 0.000, 0.000], [0.417, 0.500, 0.835], [0.583, 0.500, 0.165], [0.703, 0.500, 0.406], [0.297, 0.500, 0.594], [0.863, 0.000, 0.727], [0.137, 0.000, 0.273]]}



(10)
{"formula": "SiOs2Pt", "functional": "PBE", "state": "relaxed", "e_tot_ev_per_atom": -8.579, "sg": "Immm (71)", "dos_ef_per_ev_atom": 0.7417, "e_form_raw_ev_per_atom": -0.098, "lattice_angstrom": [[-0.154, -5.131, -1.819], [4.424, -2.975, -1.109], [-3.018, 2.841, 3.533]], "species": ["Si", "Os", "Os", "Pt"], "frac_coords": [[0.250, 0.750, 0.500], [0.044, 0.044, 0.000], [0.456, 0.456, 0.000], [0.750, 0.250, 0.500]]}



(11)
{"formula": "MgHg2H", "functional": "PBE", "state": "relaxed", "e_tot_ev_per_atom": -1.049, "sg": "Fm-3m (225)", "dos_ef_per_ev_atom": 0.3300, "de_polymorph_kcal_per_mol_atoms": 3.76, "lattice_angstrom": [[0.000, 3.376, 3.376], [3.376, 0.000, 3.376], [3.376, 3.376, 0.000]], "species": ["H", "Hg", "Hg", "Mg"], "frac_coords": [[0.000, 0.000, 0.000], [0.750, 0.750, 0.750], [0.250, 0.250, 0.250], [0.500, 0.500, 0.500]]}



(12)
{"formula": "CdIn2SnIr", "functional": "PBE", "state": "relaxed", "e_tot_ev_per_atom": -3.846, "sg": "P4/mmm (123)", "dos_ef_per_ev_atom": 0.4117, "e_form_kcal_per_mol_atoms": 0.12, "lattice_angstrom": [[5.232, 0.000, 0.000], [0.000, 5.232, 0.000], [0.000, 0.000, 5.113]], "species": ["In", "In", "Sn", "Cd", "Ir"], "frac_coords": [[0.000, 0.500, 0.000], [0.500, 0.000, 0.000], [0.000, 0.000, 0.500], [0.500, 0.500, 0.500], [0.000, 0.000, 0.000]]}